1.
A plane-wave DFT calculation with PBE-GGA was carried out for an optimized crystal structure of Y2PuSc3Te6.

Output
- E_form (uncorrected): -1.18 eV per atom
- Volume: 27.6 A^3/atom

Cell and atoms, written as POSCAR:
```
Y2PuSc3Te6
1.0
9.331 -2.126 0.000
9.331 2.126 0.000
-2.007 0.000 8.346
Y Pu Sc Te
2 1 3 6
Cartesian
2.391 0.000 2.764 Y
14.263 0.000 5.583 Y
9.331 0.000 0.000 Pu
1.399 0.000 6.989 Sc
8.327 0.000 4.173 Sc
15.255 0.000 1.357 Sc
-1.410 0.000 6.167 Te
4.273 0.000 7.697 Te
5.440 0.000 3.392 Te
11.215 0.000 4.955 Te
12.381 0.000 0.649 Te
18.065 0.000 2.179 Te
```



2.
A plane-wave DFT calculation with PBE-GGA was carried out for an optimized crystal structure of Tb2Al2NiPt5.

Output
- Energy of formation from the pure elements: -869 meV per atom
- Volume: 17.3 A^3/atom

Cell and atoms, written as POSCAR:
```
Tb2Al2NiPt5
1.0
9.723 0.000 0.000
0.000 9.723 0.000
0.000 0.000 3.659
Tb Al Ni Pt
4 4 2 10
Cartesian
1.717 3.145 0.000 Tb
3.145 8.007 0.000 Tb
6.578 1.717 0.000 Tb
8.007 6.578 0.000 Tb
1.205 6.067 0.000 Al
3.656 1.205 0.000 Al
6.067 8.518 0.000 Al
8.518 3.656 0.000 Al
0.000 0.000 0.000 Ni
4.862 4.862 0.000 Ni
0.000 4.862 1.830 Pt
0.608 7.774 1.830 Pt
1.949 0.608 1.830 Pt
2.912 5.469 1.830 Pt
4.254 2.912 1.830 Pt
4.862 0.000 1.830 Pt
5.469 6.811 1.830 Pt
6.811 4.254 1.830 Pt
7.774 9.116 1.830 Pt
9.116 1.949 1.830 Pt
```



3.
A plane-wave DFT calculation with PBE-GGA was carried out for an optimized crystal structure of TmZrSc2.

Output
- Energy of formation from the pure elements: 99 meV per atom
- Volume: 25.3 A^3/atom

Cell and atoms, written as POSCAR:
```
TmZrSc2
1.0
3.777 0.000 0.000
0.000 3.777 0.000
0.000 0.000 7.098
Tm Zr Sc
1 1 2
Cartesian
0.000 0.000 0.000 Tm
0.000 0.000 3.549 Zr
1.889 1.889 1.964 Sc
1.889 1.889 5.134 Sc
```



4.
A plane-wave DFT calculation with PBE-GGA was carried out for an optimized crystal structure of Tb3PmPb2.

Output
- Energy of formation from the pure elements: -422 meV per atom
- Volume: 30.5 A^3/atom

Cell and atoms, written as POSCAR:
```
Tb3PmPb2
1.0
4.586 0.000 0.000
0.000 4.586 0.000
0.000 0.000 8.705
Tb Pm Pb
3 1 2
Cartesian
0.000 0.000 0.000 Tb
0.000 2.293 5.707 Tb
2.293 0.000 2.997 Tb
2.293 2.293 0.000 Pm
0.000 2.293 2.505 Pb
2.293 0.000 6.200 Pb
```